Record 1
Entry from Alexandria via LeMat-Bulk: a geometry-optimized NpH7Rh4 structure (GGA-PBE).

Computed properties:
Final energy = -66.2 eV per cell
Spin magnetization = 0.30 μB per atom
Space group = Imm2
N(E_F) = 12.9 states/eV/cell

Geometry as POSCAR:
```
NpH7Rh4
1.0
-1.494 7.411 2.482
1.494 -7.411 2.482
1.494 7.411 -2.482
Np H Rh
1 7 4
Direct
0.000 0.000 0.000
0.234 0.604 0.629
0.501 0.628 0.873
0.566 0.281 0.286
0.661 0.161 0.500
0.755 0.628 0.127
0.975 0.604 0.371
0.995 0.281 0.714
0.354 0.948 0.407
0.370 0.621 0.748
0.541 0.948 0.593
0.873 0.621 0.252
```

=====

Record 2
Entry from Alexandria via LeMat-Bulk: a geometry-optimized LaMnIr structure (GGA-PBE).

Computed properties:
Final energy = -23.2 eV per cell
Spin magnetization = 1.57 μB per atom
Space group = F-43m
N(E_F) = 1.0 states/eV/cell

Geometry as POSCAR:
```
LaMnIr
1.0
0.000 3.324 3.324
3.324 0.000 3.324
3.324 3.324 0.000
La Mn Ir
1 1 1
Direct
0.000 0.000 0.000
0.500 0.500 0.500
0.250 0.250 0.250
```

=====

Record 3
Entry from Alexandria via LeMat-Bulk: a geometry-optimized TaTi2Sb2 structure (GGA-PBE).

Computed properties:
Formation energy without anion corrections = -1.2 eV/f.u.
Spin magnetization = 0.00 μB per atom
Space group = Cmc2_1
N(E_F) = 8.4 states/eV/cell

Geometry as POSCAR:
```
TaTi2Sb2
1.0
1.865 -8.343 0.000
1.865 8.343 0.000
0.000 0.000 6.606
Ta Ti Sb
2 4 4
Direct
0.098 0.902 0.500
0.902 0.098 0.000
0.320 0.680 0.735
0.478 0.522 0.286
0.522 0.478 0.786
0.680 0.320 0.235
0.074 0.926 0.070
0.305 0.695 0.197
0.695 0.305 0.697
0.926 0.074 0.570
```